# NbRe3Ni, relaxed, DFT PBE-GGA
# Formation enthalpy at 0 K: 2.61 eV/atom
# Excess energy over the best structure of this formula in the dataset: 1170.3 meV/atom
# Final energy: -8.03 eV per atom
# DOS(E_F): 1.572 states/eV/atom
data_NbRe3Ni
_chemical_formula_sum 'Nb1 Re3 Ni1'
_space_group_name_H-M_alt 'P m -3 m'
_space_group_IT_number 221
_space_group_name_Hall '-P 4 2 3'
_cell_length_a 4.710
_cell_length_b 4.710
_cell_length_c 4.710
_cell_angle_alpha 90.00
_cell_angle_beta 90.00
_cell_angle_gamma 90.00
loop_
_atom_site_label
_atom_site_fract_x
_atom_site_fract_y
_atom_site_fract_z
Nb1 0.000 0.000 0.000
Re1 0.000 0.000 0.500
Ni1 0.500 0.500 0.500

# NbRe2Ni, relaxed, DFT PBE-GGA
# Formation enthalpy at 0 K: 0.22 eV/atom
# Excess energy over the best structure of this formula in the dataset: 273.5 meV/atom
# Final energy: -9.97 eV per atom
# DOS(E_F): 1.151 states/eV/atom
data_NbRe2Ni
_chemical_formula_sum 'Nb4 Re8 Ni4'
_space_group_name_H-M_alt 'F m -3 m'
_space_group_IT_number 225
_space_group_name_Hall '-F 4 2 3'
_cell_length_a 6.204
_cell_length_b 6.204
_cell_length_c 6.204
_cell_angle_alpha 90.00
_cell_angle_beta 90.00
_cell_angle_gamma 90.00
loop_
_atom_site_label
_atom_site_fract_x
_atom_site_fract_y
_atom_site_fract_z
Nb1 0.000 0.000 0.000
Re1 0.250 0.250 0.250
Ni1 0.000 0.000 0.500

# NbRe2Ni, relaxed, DFT PBE-GGA
# Formation enthalpy at 0 K: 0.52 eV/atom
# Excess energy over the best structure of this formula in the dataset: 576.6 meV/atom
# Final energy: -9.67 eV per atom
# DOS(E_F): 1.206 states/eV/atom
data_NbRe2Ni
_chemical_formula_sum 'Nb3 Re6 Ni3'
_space_group_name_H-M_alt 'R -3 m'
_space_group_IT_number 166
_space_group_name_Hall '-R 3 2"'
_cell_length_a 2.7379
_cell_length_b 2.7379
_cell_length_c 28.6690
_cell_angle_alpha 90.00
_cell_angle_beta 90.00
_cell_angle_gamma 120.00
loop_
_atom_site_label
_atom_site_fract_x
_atom_site_fract_y
_atom_site_fract_z
Nb1 0.0000 0.0000 0.0000
Re1 0.0000 0.0000 0.0934
Ni1 0.0000 0.0000 0.5000

# NbRe2NiSb, relaxed, DFT PBE-GGA
# Final energy: -7.05 eV per atom
# DOS(E_F): 1.496 states/eV/atom
# Formation energy (no corrections): 1.93 eV per atom
data_NbRe2NiSb
_chemical_formula_sum 'Nb1 Re2 Ni1 Sb1'
_space_group_name_H-M_alt 'P 4/m m m'
_space_group_IT_number 123
_space_group_name_Hall '-P 4 2'
_cell_length_a 4.838
_cell_length_b 4.838
_cell_length_c 4.360
_cell_angle_alpha 90.00
_cell_angle_beta 90.00
_cell_angle_gamma 90.00
loop_
_atom_site_label
_atom_site_fract_x
_atom_site_fract_y
_atom_site_fract_z
Nb1 0.000 0.000 0.000
Re1 0.000 0.500 0.500
Ni1 0.500 0.500 0.000
Sb1 0.500 0.500 0.500

# ScNb2ReNi, relaxed, DFT PBE-GGA
# Formation enthalpy at 0 K: 2.02 eV/atom
# Final energy: -6.92 eV per atom
# DOS(E_F): 1.377 states/eV/atom
data_ScNb2ReNi
_chemical_formula_sum 'Sc1 Nb2 Re1 Ni1'
_space_group_name_H-M_alt 'P 4/m m m'
_space_group_IT_number 123
_space_group_name_Hall '-P 4 2'
_cell_length_a 4.650
_cell_length_b 4.650
_cell_length_c 4.554
_cell_angle_alpha 90.00
_cell_angle_beta 90.00
_cell_angle_gamma 90.00
loop_
_atom_site_label
_atom_site_fract_x
_atom_site_fract_y
_atom_site_fract_z
Sc1 0.000 0.000 0.000
Nb1 0.000 0.500 0.000
Re1 0.000 0.000 0.500
Ni1 0.500 0.500 0.500

# TiNbReNi, relaxed, DFT PBE-GGA
# Formation enthalpy at 0 K: -0.28 eV/atom
# Final energy: -9.32 eV per atom
# DOS(E_F): 0.905 states/eV/atom
data_TiNbReNi
_chemical_formula_sum 'Ti4 Nb4 Re4 Ni4'
_space_group_name_H-M_alt 'F -4 3 m'
_space_group_IT_number 216
_space_group_name_Hall 'F -4 2 3'
_cell_length_a 6.240
_cell_length_b 6.240
_cell_length_c 6.240
_cell_angle_alpha 90.00
_cell_angle_beta 90.00
_cell_angle_gamma 90.00
loop_
_atom_site_label
_atom_site_fract_x
_atom_site_fract_y
_atom_site_fract_z
Ti1 0.000 0.000 0.000
Nb1 0.000 0.000 0.500
Re1 0.250 0.250 0.250
Ni1 0.250 0.250 0.750